Below is a relaxed ZnSiS2Cl crystal, with properties calculated at the PBEsol level.

a b c (Å): 4.5763 4.5763 4.6898
angles (deg): 90.00 90.00 90.00
Last column: nearest neighbours and their distance in Å.
Fractional coordinates of all 5 atoms:
Zn1 0.0000 0.0000 0.0000  4 S 2.29, 2 Cl 2.34
Si1 0.5000 0.5000 0.5000  4 Cl 3.24, 8 S 3.28
S1 0.0000 0.5000 0.0000  2 Zn 2.29
S2 0.5000 0.0000 0.0000  2 Zn 2.29
Cl1 0.0000 0.0000 0.5000  2 Zn 2.34

---

Below is a relaxed ZrSiS2Cl crystal, with properties calculated at the PBEsol level.

For the energy relative to the lowest polymorph listed for this composition, the calculation gives 0.000 eV/atom.

a b c (Å): 4.9336 4.9336 4.8485
angles (deg): 90.00 90.00 90.00
Last column: nearest neighbours and their distance in Å.
Fractional coordinates of all 5 atoms:
Zr1 0.0000 0.0000 0.0000  2 Cl 2.42, 4 S 2.47
Si1 0.5000 0.5000 0.5000  8 S 3.46, 4 Cl 3.49
S1 0.0000 0.5000 0.0000  2 Zr 2.47
S2 0.5000 0.0000 0.0000  2 Zr 2.47
Cl1 0.0000 0.0000 0.5000  2 Zr 2.42

---

Below is a relaxed ZrSiS2Cl crystal, with properties calculated at the PBEsol level.

For the energy relative to the lowest polymorph listed for this composition, the calculation gives 0.196 eV/atom.

a b c (Å): 4.5515 4.5515 4.4109
angles (deg): 90.00 90.00 90.00
Last column: nearest neighbours and their distance in Å.
Fractional coordinates of all 5 atoms:
Zr1 0.0000 0.0000 0.0000  8 S 3.17, 4 Cl 3.22
Si1 0.5000 0.5000 0.5000  2 Cl 2.21, 4 S 2.28
S1 0.0000 0.5000 0.5000  2 Si 2.28
S2 0.5000 0.0000 0.5000  2 Si 2.28
Cl1 0.5000 0.5000 0.0000  2 Si 2.21

---

Below is a relaxed TiSnSCl2 crystal, with properties calculated at the PBEsol level.

a b c (Å): 4.7009 4.7009 4.7982
angles (deg): 90.00 90.00 90.00
Last column: nearest neighbours and their distance in Å.
Fractional coordinates of all 5 atoms:
Ti1 0.0000 0.0000 0.0000  4 Cl 2.35, 2 S 2.40
Sn1 0.5000 0.5000 0.5000  4 S 3.32, 8 Cl 3.36
S1 0.0000 0.0000 0.5000  2 Ti 2.40
Cl1 0.0000 0.5000 0.0000  2 Ti 2.35
Cl2 0.5000 0.0000 0.0000  2 Ti 2.35

---

Below is a relaxed TlSnSCl2 crystal, with properties calculated at the PBEsol level.

a b c (Å): 5.2243 5.2243 5.0784
angles (deg): 90.00 90.00 90.00
Last column: nearest neighbours and their distance in Å.
Fractional coordinates of all 5 atoms:
Tl1 0.0000 0.0000 0.0000  2 S 2.54, 4 Cl 2.61
Sn1 0.5000 0.5000 0.5000  8 Cl 3.64, 4 S 3.69
S1 0.0000 0.0000 0.5000  2 Tl 2.54
Cl1 0.0000 0.5000 0.0000  2 Tl 2.61
Cl2 0.5000 0.0000 0.0000  2 Tl 2.61

---

Below is a relaxed ZnSnSCl2 crystal, with properties calculated at the PBEsol level.

a b c (Å): 4.6649 4.6649 4.8824
angles (deg): 90.00 90.00 90.00
Last column: nearest neighbours and their distance in Å.
Fractional coordinates of all 5 atoms:
Zn1 0.0000 0.0000 0.0000  4 Cl 2.33, 2 S 2.44
Sn1 0.5000 0.5000 0.5000  4 S 3.30, 8 Cl 3.38
S1 0.0000 0.0000 0.5000  2 Zn 2.44
Cl1 0.0000 0.5000 0.0000  2 Zn 2.33
Cl2 0.5000 0.0000 0.0000  2 Zn 2.33

---

Below is a relaxed SrTiS2Cl crystal, with properties calculated at the PBEsol level.

a b c (Å): 4.7594 4.7594 4.6863
angles (deg): 90.00 90.00 90.00
Last column: nearest neighbours and their distance in Å.
Fractional coordinates of all 5 atoms:
Sr1 0.0000 0.0000 0.0000  8 S 3.34, 4 Cl 3.37
Ti1 0.5000 0.5000 0.5000  2 Cl 2.34, 4 S 2.38
S1 0.0000 0.5000 0.5000  2 Ti 2.38
S2 0.5000 0.0000 0.5000  2 Ti 2.38
Cl1 0.5000 0.5000 0.0000  2 Ti 2.34

---

Below is a relaxed SrWS2Cl crystal, with properties calculated at the PBEsol level.

a b c (Å): 4.6548 4.6548 4.9759
angles (deg): 90.00 90.00 90.00
Last column: nearest neighbours and their distance in Å.
Fractional coordinates of all 5 atoms:
Sr1 0.0000 0.0000 0.0000  4 Cl 3.29, 8 S 3.41
W1 0.5000 0.5000 0.5000  4 S 2.33, 2 Cl 2.49
S1 0.0000 0.5000 0.5000  2 W 2.33
S2 0.5000 0.0000 0.5000  2 W 2.33
Cl1 0.5000 0.5000 0.0000  2 W 2.49

---

Below is a relaxed Ta2SCl crystal, with properties calculated at the PBEsol level.

For the energy relative to the lowest polymorph listed for this composition, the calculation gives 0.000 eV/atom.

a b c (Å): 4.3389 4.3389 4.3389
angles (deg): 60.00 60.00 60.00
Last column: nearest neighbours and their distance in Å.
Fractional coordinates of all 4 atoms:
Ta1 0.2500 0.2500 0.2500  4 S 2.66, 4 Cl 2.66
Ta2 0.7500 0.7500 0.7500  4 S 2.66, 4 Cl 2.66
S1 0.0000 0.0000 0.0000  8 Ta 2.66
Cl1 0.5000 0.5000 0.5000  8 Ta 2.66

---

Below is a relaxed Ta2SCl crystal, with properties calculated at the PBEsol level.

For the energy relative to the lowest polymorph listed for this composition, the calculation gives 0.189 eV/atom.

a b c (Å): 5.6337 5.6337 5.6337
angles (deg): 106.18 106.18 116.27
Last column: nearest neighbours and their distance in Å.
Fractional coordinates of all 8 atoms:
Ta1 0.0976 0.1250 0.4726  2 S 2.38, 2 Cl 2.63
Ta2 0.3750 0.9024 0.0274  2 S 2.38, 2 Cl 2.63
Ta3 0.6524 0.6250 0.5274  2 S 2.38, 2 Cl 2.63
Ta4 0.8750 0.3476 0.9726  2 S 2.38, 2 Cl 2.63
S1 0.0000 0.0000 0.0000  4 Ta 2.38
S2 0.7500 0.2500 0.5000  4 Ta 2.38
Cl1 0.2500 0.7500 0.5000  4 Ta 2.63
Cl2 0.5000 0.5000 0.0000  4 Ta 2.63

---

Below is a relaxed TaTcS2Cl crystal, with properties calculated at the PBEsol level.

a b c (Å): 4.5194 4.5194 4.5651
angles (deg): 90.00 90.00 90.00
Last column: nearest neighbours and their distance in Å.
Fractional coordinates of all 5 atoms:
Ta1 0.0000 0.0000 0.0000  4 Cl 3.20, 8 S 3.21
Tc1 0.5000 0.5000 0.5000  4 S 2.26, 2 Cl 2.28
S1 0.0000 0.5000 0.5000  2 Tc 2.26
S2 0.5000 0.0000 0.5000  2 Tc 2.26
Cl1 0.5000 0.5000 0.0000  2 Tc 2.28

---

Below is a relaxed YTaS2Cl crystal, with properties calculated at the PBEsol level.

a b c (Å): 5.1424 5.1424 4.8750
angles (deg): 90.00 90.00 90.00
Last column: nearest neighbours and their distance in Å.
Fractional coordinates of all 5 atoms:
Y1 0.0000 0.0000 0.0000  2 Cl 2.44, 4 S 2.57
Ta1 0.5000 0.5000 0.5000  8 S 3.54, 4 Cl 3.64
S1 0.0000 0.5000 0.0000  2 Y 2.57
S2 0.5000 0.0000 0.0000  2 Y 2.57
Cl1 0.0000 0.0000 0.5000  2 Y 2.44

---

Number 1: total magnetization 0.00 μB/cell, raw formation energy 0.28 eV per atom. Number 2: total magnetization 0.74 μB/cell, raw formation energy -0.38 eV per atom. Number 3: total magnetization 1.50 μB/cell, raw formation energy -0.19 eV per atom. Number 4: total magnetization 0.00 μB/cell, raw formation energy -0.78 eV per atom. Number 5: total magnetization 0.00 μB/cell, raw formation energy -0.13 eV per atom. Number 6: total magnetization 0.00 μB/cell, raw formation energy -0.53 eV per atom. Number 7: total magnetization 0.00 μB/cell, raw formation energy -1.65 eV per atom. Number 8: total magnetization 0.00 μB/cell, raw formation energy -0.88 eV per atom. Number 9: total magnetization 0.00 μB/cell, raw formation energy 0.06 eV per atom. Number 10: total magnetization 0.00 μB/cell, raw formation energy 0.25 eV per atom. Number 11: total magnetization 2.40 μB/cell, raw formation energy 0.76 eV per atom. Number 12: total magnetization 3.00 μB/cell, raw formation energy 0.06 eV per atom.